Record 1
The following is a PBE calculation of an optimized crystal structure of YHoInGa, from the Alexandria database.

Cell: 5.1899 5.1899 5.1899 Å, 60.00 60.00 60.00°
Atoms (fractional coordinates):
Y  0.0000  0.0000  0.0000
Ho  0.5000  0.5000  0.5000
In  0.7500  0.7500  0.7500
Ga  0.2500  0.2500  0.2500

Summary:
Formation enthalpy at 0 K   -0.51 eV per atom
Distance to the lowest polymorph of the same formula   0.08 eV per formula unit

=====

Record 2
The following is a PBE calculation of an optimized crystal structure of Ba2CoHN, from the Alexandria database.

Cell: 5.6087 5.6087 3.5389 Å, 90.00 90.00 90.00°
Atoms (fractional coordinates):
Ba  0.0000  0.5000  0.0000
Ba  0.5000  0.0000  0.0000
Co  0.0000  0.0000  0.5000
H  0.5000  0.5000  0.5000
N  0.0000  0.0000  0.0000

=====

Record 3
The following is a PBE calculation of an optimized crystal structure of AcPrEuSn, from the Alexandria database.

Cell: 5.7481 5.7481 5.7481 Å, 60.00 60.00 60.00°
Atoms (fractional coordinates):
Ac  0.0000  0.0000  0.0000
Pr  0.7500  0.7500  0.7500
Eu  0.2500  0.2500  0.2500
Sn  0.5000  0.5000  0.5000

Summary:
Formation enthalpy at 0 K   -0.19 eV per atom

=====

Record 4
The following is a PBE calculation of an optimized crystal structure of Ba3LaB, from the Alexandria database.

Cell: 6.3706 6.3706 6.3706 Å, 90.00 90.00 90.00°
Atoms (fractional coordinates):
Ba  0.0000  0.0000  0.5000
Ba  0.0000  0.5000  0.0000
Ba  0.5000  0.0000  0.0000
La  0.0000  0.0000  0.0000
B  0.5000  0.5000  0.5000

Summary:
Formation enthalpy at 0 K   1.50 eV per atom
Distance to the lowest polymorph of the same formula   4.61 eV per formula unit

=====

Record 5
The following is a PBE calculation of an optimized crystal structure of GeTeAs, from the Alexandria database.

Cell: 3.9072 5.9535 7.5441 Å, 71.68 75.07 70.99°
Atoms (fractional coordinates):
Ge  0.1268  0.2712  0.4741
Ge  0.8732  0.7288  0.5259
Te  0.1423  0.6525  0.0649
Te  0.8577  0.3475  0.9351
As  0.3929  0.9085  0.3074
As  0.6071  0.0915  0.6926

Summary:
Distance to the lowest polymorph of the same formula   0.26 eV per formula unit

=====

Record 6
The following is a PBE calculation of an optimized crystal structure of SrCdSn2H, from the Alexandria database.

Cell: 4.9373 4.9373 4.7699 Å, 90.00 90.00 90.00°
Atoms (fractional coordinates):
Sr  0.0000  0.0000  0.0000
Cd  0.5000  0.5000  0.0000
Sn  0.0000  0.5000  0.5000
Sn  0.5000  0.0000  0.5000
H  0.0000  0.0000  0.5000

=====

Number 1: calculated total energy -4.711 eV per atom, calculated density 7.36 Mg/m³. Number 2: calculated total energy -4.852 eV per atom, calculated density 5.20 Mg/m³. Number 3: calculated total energy -5.983 eV per atom, calculated density 7.90 Mg/m³. Number 4: calculated total energy -1.971 eV per atom, calculated density 3.61 Mg/m³. Number 5: calculated total energy -3.984 eV per atom, calculated density 5.89 Mg/m³. Number 6: calculated total energy -2.929 eV per atom, calculated density 6.26 Mg/m³.